Computed, not measured: a PBEsol-optimized structure of Sr2NiHg at the SCAN level of DFT.

## Properties
Energy (eV per atom): -32.177

Cell: 4.363 4.363 6.359 Å, 90.00 90.00 90.00°
Space group P4mm (No. 99)
Unique sites:
1 Sr 0.000 0.000 0.000 x1
2 Sr 0.500 0.500 0.425 x1
3 Ni 0.500 0.500 0.932 x1
4 Hg 0.000 0.000 0.520 x1